A plane-wave DFT calculation with GGA-PBE was carried out for a geometry-optimized AcOF structure.

The structure belongs to space group P4/nmm (No. 129, origin choice 2); the cell edges are 4.1362, 4.1362 and 6.3042 Å and the angles 90.00°, 90.00° and 90.00°. The distinct sites, in fractional coordinates, are Ac at (0.2500, 0.2500, 0.2081), O at (0.2500, 0.7500, 0.0000) and F at (0.2500, 0.2500, 0.6137).

The uncorrected formation energy comes out at -3747.2 meV per atom. The value obtained for the total moment is 0.00 μB/cell. The energy above the most stable polymorph in this dataset comes out at 90 meV per atom. The calculation puts the density of states at the Fermi level at 0.000 states/eV/f.u.



A plane-wave DFT calculation with GGA-PBE was carried out for a geometry-optimized NaMg2Au structure.

The structure belongs to space group R-3m (No. 166, hexagonal axes); the cell edges are 3.3254, 3.3254 and 31.2473 Å and the angles 90.00°, 90.00° and 120.00°. The distinct sites, in fractional coordinates, are Na at (0.0000, 0.0000, 0.0000), Mg at (0.0000, 0.0000, 0.1027) and Au at (0.0000, 0.0000, 0.5000).

The energy of formation is -0.10 eV/atom. The value obtained for the total moment is 0.00 μB/cell. The calculation puts the density of states at the Fermi level at 1.334 states/eV/f.u.



A plane-wave DFT calculation with GGA-PBE was carried out for a geometry-optimized Pr5SmHoEr2 structure.

The structure belongs to space group Cmc2_1 (No. 36); the cell edges are 5.6690, 20.5916 and 10.7796 Å and the angles 90.00°, 90.00° and 90.00°. The distinct sites, in fractional coordinates, are Pr at (0.0000, 0.0152, 0.0000), Pr at (0.0000, 0.2802, 0.2932), Pr at (0.0000, 0.2957, 0.6861), Pr at (0.0000, 0.3866, 0.0045), Pr at (0.0000, 0.4826, 0.7261), Sm at (0.0000, 0.1996, 0.9919), Ho at (0.0000, 0.4081, 0.4441), Er at (0.0000, 0.1115, 0.7219) and Er at (0.0000, 0.1152, 0.2915).

The energy of formation is 0.14 eV/atom. The value obtained for the total moment is 0.00 μB/cell. The calculation puts the density of states at the Fermi level at 14.367 states/eV/f.u.



A plane-wave DFT calculation with GGA-PBE was carried out for a geometry-optimized Er3Al9Cu2 structure.

The structure belongs to space group Immm (No. 71); the cell edges are 4.2361, 10.0120 and 12.0513 Å and the angles 90.00°, 90.00° and 90.00°. The distinct sites, in fractional coordinates, are Er at (0.0000, 0.0000, 0.0000), Er at (0.0000, 0.0000, 0.3117), Al at (0.0000, 0.2802, 0.1280), Al at (0.0000, 0.3700, 0.3428), Al at (0.0000, 0.5000, 0.0000) and Cu at (0.0000, 0.2062, 0.5000).

The energy of formation is -0.41 eV/atom. The value obtained for the total moment is 0.00 μB/cell. The calculation puts the density of states at the Fermi level at 3.066 states/eV/f.u.



A plane-wave DFT calculation with GGA-PBE was carried out for a geometry-optimized NiPdRuPt structure.

The structure belongs to space group F-43m (No. 216); the cell edges are 6.1291, 6.1291 and 6.1291 Å and the angles 90.00°, 90.00° and 90.00°. The distinct sites, in fractional coordinates, are Ni at (0.0000, 0.0000, 0.0000), Pd at (0.2500, 0.2500, 0.7500), Ru at (0.0000, 0.0000, 0.5000) and Pt at (0.2500, 0.2500, 0.2500).

The energy of formation is 0.25 eV/atom. The value obtained for the total moment is 6.09 μB/cell. The calculation puts the density of states at the Fermi level at 5.150 states/eV/f.u.



A plane-wave DFT calculation with GGA-PBE was carried out for a geometry-optimized Nb2AlN structure.

The structure belongs to space group R-3m (No. 166, hexagonal axes); the cell edges are 3.0102, 3.0102 and 22.0759 Å and the angles 90.00°, 90.00° and 120.00°. The distinct sites, in fractional coordinates, are Nb at (0.0000, 0.0000, 0.2280), Al at (0.0000, 0.0000, 0.0000) and N at (0.0000, 0.0000, 0.5000).

The uncorrected formation energy comes out at -579.9 meV per atom. The value obtained for the total moment is 0.00 μB/cell. The calculation puts the density of states at the Fermi level at 3.210 states/eV/f.u.



| no. | energy (eV per atom) |
| --- | --- |
| 1 | -7.393 |
| 2 | -2.047 |
| 3 | -4.559 |
| 4 | -4.376 |
| 5 | -6.319 |
| 6 | -8.632 |